PBE Rb2ScSnTe4, optimized geometry; magnetization = 0.00 μB per formula unit; E_tot = -3.9030 eV per atom; calculated density = 3.88 g cm⁻³
1.0
0.000 7.722 13.105
3.577 0.000 13.105
3.577 7.722 0.000
Rb Sc Sn Te
4 2 2 8
direct
0.057 0.057 0.693
0.307 0.307 0.943
0.693 0.693 0.057
0.943 0.943 0.307
0.125 0.125 0.125
0.875 0.875 0.875
0.375 0.375 0.375
0.625 0.625 0.625
0.054 0.310 0.411
0.275 0.589 0.690
0.310 0.054 0.725
0.411 0.725 0.054
0.589 0.275 0.946
0.690 0.946 0.275
0.725 0.411 0.310
0.946 0.690 0.589